Entry 1:
The following is a PBE-GGA calculation of TbYCuPt after structural relaxation, from Alexandria via LeMat-Bulk.

Computed properties:
* uncorrected energy: -6.06 eV per atom
* spin magnetization: 0.000 μB per cell
* SG: F-43m (216)
* D(E_F): 0.600 states/eV/atom

Structure (POSCAR):
```
TbYCuPt
1.0
-2.978 -3.129 2.403
0.701 -4.877 -0.397
1.714 -2.572 3.857
Tb Cu Y Pt
1 1 1 1
direct
0.000 0.000 0.000 Tb
0.250 0.250 0.250 Cu
0.500 0.500 0.500 Y
0.750 0.750 0.750 Pt
```

***

Entry 2:
The following is a PBE-GGA calculation of NdDyAg after structural relaxation, from Alexandria via LeMat-Bulk.

Computed properties:
* uncorrected energy: -4.23 eV per atom
* spin magnetization: 0.013 μB per cell
* SG: I4mm (107)
* D(E_F): 1.375 states/eV/atom

Structure (POSCAR):
```
NdDyAg
1.0
3.629 0.000 0.000
0.000 3.629 0.000
-1.814 -1.814 6.459
Ag Dy Nd
1 1 1
direct
0.675 0.675 0.350 Ag
0.311 0.311 0.622 Dy
0.014 0.014 0.028 Nd
```

***

Entry 3:
The following is a PBE-GGA calculation of Si2Ni2Au after structural relaxation, from Alexandria via LeMat-Bulk.

Computed properties:
* uncorrected energy: -5.34 eV per atom
* spin magnetization: 0.000 μB per cell
* SG: I4/mmm (139)
* D(E_F): 0.443 states/eV/atom

Structure (POSCAR):
```
Si2Ni2Au
1.0
-2.949 -1.720 -0.915
1.622 -3.087 0.574
-2.336 -2.312 5.050
Ni Si Au
2 2 1
direct
0.385 0.385 0.231 Ni
0.615 0.615 0.769 Ni
0.250 0.750 0.500 Si
0.750 0.250 0.500 Si
0.000 0.000 0.000 Au
```

***

Entry 4:
The following is a PBE-GGA calculation of TiAlTcPd after structural relaxation, from Alexandria via LeMat-Bulk.

Computed properties:
* uncorrected energy: -7.48 eV per atom
* spin magnetization: 0.000 μB per cell
* SG: P4mm (99)
* D(E_F): 0.356 states/eV/atom

Structure (POSCAR):
```
TiAlTcPd
1.0
-2.277 -2.032 0.709
1.433 -0.661 2.707
-3.112 4.443 2.734
Tc Al Ti Pd
1 1 1 1
direct
0.000 0.000 0.356 Tc
0.500 0.500 0.597 Al
0.500 0.500 0.129 Ti
0.000 0.000 0.847 Pd
```

***

Entry 5:
The following is a PBE-GGA calculation of ZnRe2Ni after structural relaxation, from Alexandria via LeMat-Bulk.

Computed properties:
* uncorrected energy: -7.78 eV per atom
* spin magnetization: 0.000 μB per cell
* SG: P4/mmm (123)
* D(E_F): 0.707 states/eV/atom

Structure (POSCAR):
```
ZnRe2Ni
1.0
-1.388 2.092 -0.739
-2.188 -1.147 0.862
1.122 3.305 7.244
Ni Zn Re
1 1 2
direct
0.500 0.500 0.750 Ni
0.500 0.500 0.250 Zn
0.000 0.000 0.514 Re
0.000 0.000 0.986 Re
```

***

Entry 6:
The following is a PBE-GGA calculation of YAsH3 after structural relaxation, from Alexandria via LeMat-Bulk.

Computed properties:
* uncorrected energy: -4.09 eV per atom
* spin magnetization: 0.000 μB per cell
* SG: Pm-3m (221)
* D(E_F): 0.569 states/eV/atom

Structure (POSCAR):
```
YAsH3
1.0
4.027 0.000 0.000
0.000 4.027 0.000
0.000 0.000 4.027
As Y H
1 1 3
direct
0.500 0.500 0.500 As
0.000 0.000 0.000 Y
0.500 0.000 0.000 H
0.000 0.000 0.500 H
0.000 0.500 0.000 H
```